Entry 1:
Material: Li8Tl2Ga
Method: DFT, GGA-PBE
State: optimized geometry

Output
energy relative to the lowest polymorph listed for this composition = 0.00 eV/f.u.
Fermi-level density of states = 0.4427 states/eV/atom

Cell lengths 15.013, 4.579, 5.872 Å; angles 90.00, 97.46, 90.00 degrees
Space group C2/m (No. 12)
One atom of each set of equivalent atoms:
Li  0.032  0.000  0.254
Li  0.093  0.500  0.939
Li  0.146  0.000  0.670
Li  0.170  0.500  0.408
Tl  0.214  0.000  0.155
Ga  0.000  0.500  0.500



Entry 2:
Material: TlIn12Bi3
Method: DFT, GGA-PBE
State: optimized geometry

Output
Fermi-level density of states = 0.5522 states/eV/atom

Cell lengths 5.140, 5.140, 17.449 Å; angles 90.00, 90.00, 90.00 degrees
Space group P4/mmm (No. 123)
One atom of each set of equivalent atoms:
Tl  0.000  0.000  0.000
In  0.000  0.500  0.124
In  0.000  0.500  0.374
In  0.500  0.500  0.000
In  0.500  0.500  0.253
In  0.500  0.500  0.500
Bi  0.000  0.000  0.245
Bi  0.000  0.000  0.500



Entry 3:
Material: ScTaOsRu
Method: DFT, GGA-PBE
State: optimized geometry

Output
Fermi-level density of states = 0.2352 states/eV/atom

Cell lengths 3.186, 3.186, 6.430 Å; angles 90.00, 90.00, 90.00 degrees
Space group P4mm (No. 99)
One atom of each set of equivalent atoms:
Sc  0.000  0.000  0.000
Ta  0.000  0.000  0.498
Os  0.500  0.500  0.737
Ru  0.500  0.500  0.258



| no. | raw total energy (eV per formula unit) | calculated formation energy (meV/atom) | spin magnetization (Bohr magnetons per cell) |
| --- | --- | --- | --- |
| 1 | -25.3 | -200 | 0.0 |
| 2 | -46.5 | 22 | 0.0 |
| 3 | -41.0 | -566 | 0.0 |